1.
A plane-wave DFT calculation with PBE was carried out for an optimized crystal structure of Hf2Zr4Sc.

Cell lengths 4.7834, 4.7834, 15.3795 Å; angles 90.00, 90.00, 90.00 degrees
Closest atoms and distances in Å follow each position.
Space group I4/mmm (No. 139)
Asymmetric unit:
Hf  0.0000  0.0000  0.1277  5 Zr 2.79-3.10
Zr  0.0000  0.0000  0.3090  1 Hf 2.79, 1 Sc 2.94
Zr  0.0000  0.5000  0.0000  2 Sc 2.39
Sc  0.0000  0.0000  0.5000  4 Zr 2.39

Calculated values
- density (g/cm³) = 7.237
- energy relative to the elements (eV per formula unit) = 6.8
- ΔE to the lowest computed polymorph (meV per atom) = 969

=====

2.
A plane-wave DFT calculation with PBE was carried out for an optimized crystal structure of Pr6GaBi2.

Cell lengths 8.7338, 8.7338, 4.4737 Å; angles 90.00, 90.00, 120.00 degrees
Closest atoms and distances in Å follow each position.
Space group P-62m (No. 189)
Asymmetric unit:
Pr  0.0000  0.2422  0.0000  2 Ga 3.08, 2 Bi 3.38
Pr  0.0000  0.5905  0.5000  4 Bi 3.46, 1 Ga 3.58, 6 Pr 3.78-3.83
Ga  0.0000  0.0000  0.5000  6 Pr 3.08
Bi  0.3333  0.6667  0.0000  9 Pr 3.38-3.46

Calculated values
- density (g/cm³) = 7.490
- energy relative to the elements (eV per formula unit) = -5.1

=====

3.
A plane-wave DFT calculation with PBE was carried out for an optimized crystal structure of LuTl3.

Cell lengths 4.7466, 4.7466, 4.7466 Å; angles 90.00, 90.00, 90.00 degrees
Closest atoms and distances in Å follow each position.
Space group Pm-3m (No. 221)
Asymmetric unit:
Lu  0.0000  0.0000  0.0000  12 Tl 3.36
Tl  0.0000  0.5000  0.5000  8 Tl 3.36, 4 Lu 3.36

Calculated values
- density (g/cm³) = 12.237
- energy relative to the elements (eV per formula unit) = -0.6

=====

4.
A plane-wave DFT calculation with PBE was carried out for an optimized crystal structure of TbCeHgOs.

Cell lengths 7.1894, 7.1894, 7.1894 Å; angles 90.00, 90.00, 90.00 degrees
Closest atoms and distances in Å follow each position.
Space group F-43m (No. 216)
Asymmetric unit:
Tb  0.0000  0.0000  0.0000  4 Os 3.11, 4 Hg 3.11
Ce  0.0000  0.0000  0.5000  4 Hg 3.11, 4 Os 3.11
Hg  0.2500  0.2500  0.7500  4 Tb 3.11, 4 Ce 3.11
Os  0.2500  0.2500  0.2500  4 Ce 3.11, 4 Tb 3.11

Calculated values
- density (g/cm³) = 12.331
- energy relative to the elements (eV per formula unit) = -0.7
- ΔE to the lowest computed polymorph (meV per atom) = 146

=====

In order of appearance, spin magnetization = 0.00 4.81 0.00 0.23 μB/f.u..
In order of appearance, total DFT energy (no corrections) = -107.2 -44.6 -12.2 -91.2 eV/cell.
In order of appearance, N(E_F) = 16.995 11.111 0.941 20.756 states/eV/cell.